Entry 1:
! Li2MgSb PBE optimized geometry; values from VASP
! Total magnetic moment (Bohr magnetons per cell): 0.0
! Energy relative to the elements, uncorrected (eV/atom): -0.42
! DOS at the Fermi energy (states/eV/cell): 0.67
&SYSTEM
  ibrav = 0, nat = 4, ntyp = 3
/
ATOMIC_SPECIES
Li 6.94 Li.upf
Mg 24.30 Mg.upf
Sb 121.76 Sb.upf
ATOMIC_POSITIONS crystal
Li 0.000 0.500 0.000
Li 0.500 0.000 0.000
Mg 0.000 0.000 0.500
Sb 0.500 0.500 0.500
CELL_PARAMETERS angstrom
3.015 -3.020 0.000
3.015 3.020 0.000
0.000 0.000 4.342


Entry 2:
! LiMgSb2 PBE optimized geometry; values from VASP
! Total magnetic moment (Bohr magnetons per cell): 0.0
! Energy relative to the elements, uncorrected (eV/atom): -0.32
! DOS at the Fermi energy (states/eV/cell): 1.48
&SYSTEM
  ibrav = 0, nat = 4, ntyp = 3
/
ATOMIC_SPECIES
Li 6.94 Li.upf
Mg 24.30 Mg.upf
Sb 121.76 Sb.upf
ATOMIC_POSITIONS crystal
Li 0.000 0.000 0.000
Mg 0.176 0.176 0.176
Sb 0.592 0.592 0.592
Sb 0.753 0.753 0.753
CELL_PARAMETERS angstrom
2.259 1.305 5.834
-2.259 1.305 5.834
0.000 -2.609 5.834


Entry 3:
! Li2MgSb PBE optimized geometry; values from VASP
! Total magnetic moment (Bohr magnetons per cell): 0.0
! Energy relative to the elements, uncorrected (eV/atom): -0.35
! DOS at the Fermi energy (states/eV/cell): 0.55
&SYSTEM
  ibrav = 0, nat = 4, ntyp = 3
/
ATOMIC_SPECIES
Li 6.94 Li.upf
Mg 24.30 Mg.upf
Sb 121.76 Sb.upf
ATOMIC_POSITIONS crystal
Li 0.000 0.000 0.000
Li 0.000 0.500 0.394
Mg 0.500 0.500 0.897
Sb 0.500 0.000 0.491
CELL_PARAMETERS angstrom
3.372 0.000 0.000
0.000 4.758 0.000
0.000 0.000 4.978


Entry 4:
! LiMgSb2 PBE optimized geometry; values from VASP
! Total magnetic moment (Bohr magnetons per cell): 0.0
! Energy relative to the elements, uncorrected (eV/atom): -0.26
! DOS at the Fermi energy (states/eV/cell): 1.51
&SYSTEM
  ibrav = 0, nat = 4, ntyp = 3
/
ATOMIC_SPECIES
Li 6.94 Li.upf
Mg 24.30 Mg.upf
Sb 121.76 Sb.upf
ATOMIC_POSITIONS crystal
Li 0.000 0.000 0.000
Mg 0.000 0.000 0.500
Sb 0.500 0.500 0.249
Sb 0.500 0.500 0.751
CELL_PARAMETERS angstrom
2.228 -2.479 0.000
2.228 2.479 0.000
0.000 0.000 8.461


Entry 5:
! LiMg2Sb PBE optimized geometry; values from VASP
! Total magnetic moment (Bohr magnetons per cell): 0.0
! Energy relative to the elements, uncorrected (eV/atom): -0.25
! DOS at the Fermi energy (states/eV/cell): 1.73
&SYSTEM
  ibrav = 0, nat = 4, ntyp = 3
/
ATOMIC_SPECIES
Li 6.94 Li.upf
Mg 24.30 Mg.upf
Sb 121.76 Sb.upf
ATOMIC_POSITIONS crystal
Li 0.000 0.000 0.000
Mg 0.250 0.750 0.500
Mg 0.750 0.250 0.500
Sb 0.500 0.500 0.000
CELL_PARAMETERS angstrom
-2.189 2.189 4.559
2.189 -2.189 4.559
2.189 2.189 -4.559


Entry 6:
! LiMgSb PBE optimized geometry; values from VASP
! Total magnetic moment (Bohr magnetons per cell): 0.0
! Energy relative to the elements, uncorrected (eV/atom): -0.18
! DOS at the Fermi energy (states/eV/cell): 0.89
&SYSTEM
  ibrav = 0, nat = 3, ntyp = 3
/
ATOMIC_SPECIES
Li 6.94 Li.upf
Mg 24.30 Mg.upf
Sb 121.76 Sb.upf
ATOMIC_POSITIONS crystal
Li 0.000 0.000 0.000
Mg 0.326 0.326 0.000
Sb 0.654 0.654 0.000
CELL_PARAMETERS angstrom
-1.641 1.641 6.400
1.641 -1.641 6.400
1.641 1.641 -6.400


Entry 7:
! LiMgSb3 PBE optimized geometry; values from VASP
! Total magnetic moment (Bohr magnetons per cell): 0.0
! Energy relative to the elements, uncorrected (eV/atom): 0.23
! Polymorph energy (0 for the lowest one) (meV per atom): 0
! DOS at the Fermi energy (states/eV/cell): 2.51
&SYSTEM
  ibrav = 0, nat = 5, ntyp = 3
/
ATOMIC_SPECIES
Li 6.94 Li.upf
Mg 24.30 Mg.upf
Sb 121.76 Sb.upf
ATOMIC_POSITIONS crystal
Li 0.000 0.000 0.000
Mg 0.500 0.500 0.500
Sb 0.000 0.000 0.500
Sb 0.000 0.500 0.000
Sb 0.500 0.000 0.000
CELL_PARAMETERS angstrom
5.072 0.000 0.000
0.000 5.072 0.000
0.000 0.000 5.072


Entry 8:
! Li2MgSb PBE optimized geometry; values from VASP
! Total magnetic moment (Bohr magnetons per cell): 0.0
! Energy relative to the elements, uncorrected (eV/atom): -0.38
! DOS at the Fermi energy (states/eV/cell): 1.56
&SYSTEM
  ibrav = 0, nat = 4, ntyp = 3
/
ATOMIC_SPECIES
Li 6.94 Li.upf
Mg 24.30 Mg.upf
Sb 121.76 Sb.upf
ATOMIC_POSITIONS crystal
Li 0.000 0.000 0.000
Li 0.750 0.250 0.500
Mg 0.500 0.500 0.000
Sb 0.250 0.750 0.500
CELL_PARAMETERS angstrom
-2.184 2.184 4.200
2.184 -2.184 4.200
2.184 2.184 -4.200